(1)
Compound: Tm3Sc3Te2Ir
Source: the Open Quantum Materials Database
Functional: PBE-GGA
Structure: optimized geometry

a b c (Å): 8.0513 8.0513 3.8466
angles (deg): 90.00 90.00 120.00
With the nearest neighbours (Å) after each atom.
Space group P-62m (No. 189)
Unique sites:
Tm1 0.0000 0.7521 0.0000 x3  2 Ir 2.77, 2 Te 3.09
Sc1 0.0000 0.3905 0.5000 x3  4 Te 3.14, 1 Ir 3.14, 6 Tm 3.36-3.49
Te1 0.3333 0.6667 0.0000 x2  3 Tm 3.09, 6 Sc 3.14
Ir1 0.0000 0.0000 0.5000 x1  6 Tm 2.77



(2)
Compound: Ta7Re8
Source: the Open Quantum Materials Database
Functional: PBE-GGA
Structure: optimized geometry

The calculated formation energy is -0.1282 eV/atom.

a b c (Å): 9.8140 9.8140 5.1423
angles (deg): 90.00 90.00 90.00
With the nearest neighbours (Å) after each atom.
Space group P4_2/mnm (No. 136)
Unique sites:
Ta1 0.0000 0.0000 0.0000 x2  4 Re 2.65, 8 Ta 2.89-2.96
Ta2 0.1057 0.1057 0.5000 x4  6 Re 2.72-3.03, 3 Ta 2.93-2.96
Ta3 0.1860 0.8140 0.2512 x8  2 Ta 2.56-2.58, 4 Re 2.82-2.86
Re1 0.0316 0.3730 0.5000 x8  5 Re 2.57-2.80, 1 Ta 2.72
Re2 0.0626 0.2631 0.0000 x8  5 Ta 2.65-2.86, 5 Re 2.71-2.80



(3)
Compound: Li4TbBiO6
Source: the Open Quantum Materials Database
Functional: PBE-GGA
Structure: optimized geometry

a b c (Å): 5.5065 9.6261 5.2860
angles (deg): 90.00 109.41 90.00
With the nearest neighbours (Å) after each atom.
Space group C2 (No. 5)
Unique sites:
Li1 0.0000 0.0000 0.0000 x2  4 O 2.05-2.29
Li2 0.0000 0.1419 0.5000 x2  6 O 2.22-2.25
Li3 0.0000 0.3025 0.0000 x2  6 O 2.13-2.30
Li4 0.0000 0.6196 0.0000 x2  4 O 2.06-2.16
Tb1 0.0000 0.8081 0.5000 x2  6 O 2.27-2.28
Bi1 0.0000 0.4750 0.5000 x2  6 O 2.12-2.15
O1 0.2313 0.3170 0.7474 x4  1 Bi 2.13, 2 Li 2.13-2.25, 1 Tb 2.28
O2 0.2390 0.6328 0.7493 x4  4 Li 2.05-2.29, 1 Bi 2.15, 1 Tb 2.27
O3 0.2397 0.4788 0.2578 x4  4 Li 2.06-2.30, 1 Bi 2.12, 1 Tb 2.27



(4)
Compound: RbSnMo
Source: the Open Quantum Materials Database
Functional: PBE-GGA
Structure: optimized geometry

a b c (Å): 7.6867 7.6867 7.6867
angles (deg): 90.00 90.00 90.00
With the nearest neighbours (Å) after each atom.
Space group F-43m (No. 216)
Unique sites:
Rb1 0.0000 0.0000 0.0000 x4  4 Mo 3.33, 4 Sn 3.33
Sn1 0.2500 0.2500 0.2500 x4  4 Rb 3.33
Mo1 0.2500 0.2500 0.7500 x4  4 Rb 3.33



(5)
Compound: PrDy3Zn2
Source: the Open Quantum Materials Database
Functional: PBE-GGA
Structure: optimized geometry

The calculated formation energy is -0.2303 eV/atom.

a b c (Å): 3.5740 3.5740 12.3323
angles (deg): 90.00 90.00 90.00
With the nearest neighbours (Å) after each atom.
Space group P4/mmm (No. 123)
Unique sites:
Pr1 0.0000 0.0000 0.0000 x1  4 Pr 3.57, 8 Dy 3.66
Dy1 0.5000 0.5000 0.2146 x2  4 Zn 3.08
Dy2 0.5000 0.5000 0.5000 x1  8 Zn 3.08
Zn1 0.0000 0.0000 0.3577 x2  8 Dy 3.08



(6)
Compound: HoMg2Cd
Source: the Open Quantum Materials Database
Functional: PBE-GGA
Structure: optimized geometry

a b c (Å): 5.1064 5.1064 7.1551
angles (deg): 90.00 90.00 90.00
With the nearest neighbours (Å) after each atom.
Space group I-4m2 (No. 119)
Unique sites:
Ho1 0.0000 0.0000 0.0000 x2  4 Cd 3.12, 4 Mg 3.12
Mg1 0.0000 0.0000 0.5000 x2  4 Cd 3.12, 4 Mg 3.12
Mg2 0.0000 0.5000 0.7500 x2  4 Ho 3.12, 4 Mg 3.12
Cd1 0.0000 0.5000 0.2500 x2  4 Ho 3.12, 4 Mg 3.12



(7)
Compound: TbZr3
Source: the Open Quantum Materials Database
Functional: PBE-GGA
Structure: optimized geometry

The calculated formation energy is 0.0579 eV/atom.

a b c (Å): 6.6429 11.4725 5.2390
angles (deg): 90.00 90.00 90.00
With the nearest neighbours (Å) after each atom.
Space group Cmcm (No. 63)
Unique sites:
Tb1 0.0000 0.0865 0.2500 x4  10 Zr 3.23-3.40, 2 Tb 3.29
Zr1 0.0000 0.4176 0.7500 x4  10 Zr 3.23-3.33, 2 Tb 3.32
Zr2 0.2415 0.3311 0.2500 x8  8 Zr 3.21-3.43, 4 Tb 3.23-3.40



(8)
Compound: RbTmAsO
Source: the Open Quantum Materials Database
Functional: PBE-GGA
Structure: optimized geometry

a b c (Å): 4.0981 4.0981 10.8480
angles (deg): 90.00 90.00 90.00
With the nearest neighbours (Å) after each atom.
Space group P4mm (No. 99)
Unique sites:
Rb1 0.0000 0.5000 0.0000 x2  4 Rb 2.90
Tm1 0.0000 0.0000 0.4134 x1  4 O 2.25
Tm2 0.5000 0.5000 0.5860 x1  4 O 2.25
As1 0.0000 0.0000 0.7593 x1  4 Rb 3.32, 4 Tm 3.45, 4 O 3.48
As2 0.5000 0.5000 0.2411 x1  4 Rb 3.32, 4 Tm 3.45, 4 O 3.48
O1 0.0000 0.5000 0.5000 x2  4 Tm 2.25



(9)
Compound: InAg15
Source: the Open Quantum Materials Database
Functional: PBE-GGA
Structure: optimized geometry

a b c (Å): 2.8949 5.7799 43.5591
angles (deg): 90.00 90.00 90.00
With the nearest neighbours (Å) after each atom.
Space group P-1 (No. 2)
Unique sites:
In1 0.2488 0.3744 0.1327 x2  2 In 2.89, 6 Ag 2.91-3.16
Ag1 0.2499 0.3749 0.2364 x2  12 Ag 2.89-2.93
Ag2 0.2500 0.3748 0.3328 x2  12 Ag 2.89-2.93
Ag3 0.2500 0.3749 0.4284 x2  12 Ag 2.89-2.92
Ag4 0.2500 0.3753 0.5239 x2  12 Ag 2.89-2.92
Ag5 0.2500 0.3749 0.6194 x2  12 Ag 2.89-2.93
Ag6 0.2500 0.3756 0.7153 x2  12 Ag 2.89-2.93
Ag7 0.2501 0.3772 0.8121 x2  10 Ag 2.87-2.95, 2 In 3.15
Ag8 0.2501 0.8736 0.8120 x2  10 Ag 2.87-2.95, 2 In 3.15-3.16
Ag9 0.2500 0.8746 0.1400 x2  6 Ag 2.89-2.93, 2 In 2.91
Ag10 0.2499 0.8745 0.2366 x2  12 Ag 2.89-2.95
Ag11 0.2500 0.8749 0.3326 x2  12 Ag 2.89-2.93
Ag12 0.2500 0.8749 0.4285 x2  12 Ag 2.89-2.92
Ag13 0.2500 0.8748 0.5238 x2  12 Ag 2.89-2.92
Ag14 0.2500 0.8754 0.6194 x2  12 Ag 2.89-2.93
Ag15 0.2500 0.8750 0.7154 x2  12 Ag 2.89-2.93



(10)
Compound: TaBi2
Source: the Open Quantum Materials Database
Functional: PBE-GGA
Structure: optimized geometry

a b c (Å): 8.7175 8.7175 8.7175
angles (deg): 90.00 90.00 90.00
With the nearest neighbours (Å) after each atom.
Space group Fd-3m (No. 227, origin choice 2)
Unique sites:
Ta1 0.1250 0.1250 0.1250 x8  12 Bi 3.61, 4 Ta 3.77
Bi1 0.0000 0.0000 0.5000 x16  6 Bi 3.08



Sequential total energy output: -6.0611, -12.2848, -5.7986, -3.3605, -3.7484, -2.3320, -7.5098, -5.1188, -2.7811, -5.2497 eV/atom